Er3SnPbS | PBE | relaxed

Cell and atoms, written as CIF:
```
data_Er3SnPbS
_chemical_formula_sum 'Er6 Sn2 Pb2 S2'
_space_group_name_H-M_alt 'P 1'
_space_group_IT_number 1
_cell_length_a 5.0742
_cell_length_b 6.7663
_cell_length_c 9.6115
_cell_angle_alpha 105.70
_cell_angle_beta 90.00
_cell_angle_gamma 90.00
loop_
_space_group_symop_operation_xyz
'x,y,z'
loop_
_atom_site_label
_atom_site_type_symbol
_atom_site_fract_x
_atom_site_fract_y
_atom_site_fract_z
S1 S 0.2500 0.1669 0.6124
S2 S 0.7500 0.8331 0.3876
Pb1 Pb 0.7500 0.7780 0.7296
Pb2 Pb 0.2500 0.2220 0.2704
Sn1 Sn 0.7500 0.3381 0.8826
Sn2 Sn 0.2500 0.6619 0.1174
Er1 Er 0.7500 0.9133 0.1138
Er2 Er 0.2500 0.5433 0.7895
Er3 Er 0.2500 0.7771 0.4704
Er4 Er 0.2500 0.0867 0.8862
Er5 Er 0.7500 0.2229 0.5296
Er6 Er 0.7500 0.4567 0.2105
```

Its formation energy without anion corrections is -0.869 eV per atom. As for the space group: No. 11.

=====

TbErPbS | PBE | relaxed

Cell and atoms, written as CIF:
```
data_TbErPbS
_chemical_formula_sum 'Tb1 Er1 Pb1 S1'
_space_group_name_H-M_alt 'P 1'
_space_group_IT_number 1
_cell_length_a 3.7813
_cell_length_b 3.7780
_cell_length_c 8.4260
_cell_angle_alpha 90.02
_cell_angle_beta 103.07
_cell_angle_gamma 119.72
loop_
_space_group_symop_operation_xyz
'x,y,z'
loop_
_atom_site_label
_atom_site_type_symbol
_atom_site_fract_x
_atom_site_fract_y
_atom_site_fract_z
Er1 Er 0.9328 0.3650 0.3131
Pb1 Pb 0.4675 0.1307 0.6161
S1 S 0.1378 0.9673 0.1195
Tb1 Tb 0.3399 0.5677 0.9210
```

Its formation energy without anion corrections is -1.207 eV per atom. As for the space group: No. 1.

=====

TbEr4PbS8 | PBE | relaxed

Cell and atoms, written as CIF:
```
data_TbEr4PbS8
_chemical_formula_sum 'Tb1 Er4 Pb1 S8'
_space_group_name_H-M_alt 'P 1'
_space_group_IT_number 1
_cell_length_a 8.0793
_cell_length_b 8.0793
_cell_length_c 8.1265
_cell_angle_alpha 60.19
_cell_angle_beta 60.19
_cell_angle_gamma 60.00
loop_
_space_group_symop_operation_xyz
'x,y,z'
loop_
_atom_site_label
_atom_site_type_symbol
_atom_site_fract_x
_atom_site_fract_y
_atom_site_fract_z
Er1 Er 0.0017 0.0017 0.5021
Er2 Er 0.4945 0.0017 0.5021
Er3 Er 0.0017 0.4945 0.5021
Er4 Er 0.6253 0.6253 0.1240
S1 S 0.2385 0.2385 0.7319
S2 S 0.7559 0.2279 0.2603
S3 S 0.7559 0.7559 0.2603
S4 S 0.7911 0.2385 0.7319
S5 S 0.2279 0.7559 0.2603
S6 S 0.2350 0.2350 0.2949
S7 S 0.2385 0.7911 0.7319
S8 S 0.7577 0.7577 0.7268
Tb1 Tb 0.0022 0.0022 0.9934
Pb1 Pb 0.3740 0.3740 0.8780
```

Its formation energy without anion corrections is -1.764 eV per atom. As for the space group: No. 160.

=====

Er6Te3PbS2 | PBE | relaxed

Cell and atoms, written as CIF:
```
data_Er6Te3PbS2
_chemical_formula_sum 'Er6 Te3 Pb1 S2'
_space_group_name_H-M_alt 'P 1'
_space_group_IT_number 1
_cell_length_a 4.1596
_cell_length_b 8.4627
_cell_length_c 9.4403
_cell_angle_alpha 104.31
_cell_angle_beta 102.73
_cell_angle_gamma 90.00
loop_
_space_group_symop_operation_xyz
'x,y,z'
loop_
_atom_site_label
_atom_site_type_symbol
_atom_site_fract_x
_atom_site_fract_y
_atom_site_fract_z
Er1 Er 0.6697 0.1222 0.3395
Er2 Er 0.3303 0.8778 0.6605
Er3 Er 0.9829 0.7435 0.9657
Er4 Er 0.0171 0.2565 0.0343
Er5 Er 0.6779 0.5623 0.3559
Er6 Er 0.3221 0.4377 0.6441
Te1 Te 0.8384 0.1681 0.6769
Te2 Te 0.5000 0.5000 0.0000
Te3 Te 0.1616 0.8319 0.3231
Pb1 Pb 0.5000 0.0000 0.0000
S1 S 0.8298 0.6594 0.6595
S2 S 0.1702 0.3406 0.3405
```

Its formation energy without anion corrections is -1.340 eV per atom. As for the space group: No. 12.

=====

Er4Te2PbS | PBE | relaxed

Cell and atoms, written as CIF:
```
data_Er4Te2PbS
_chemical_formula_sum 'Er4 Te2 Pb1 S1'
_space_group_name_H-M_alt 'P 1'
_space_group_IT_number 1
_cell_length_a 4.2250
_cell_length_b 7.3212
_cell_length_c 7.4298
_cell_angle_alpha 109.16
_cell_angle_beta 90.00
_cell_angle_gamma 90.00
loop_
_space_group_symop_operation_xyz
'x,y,z'
loop_
_atom_site_label
_atom_site_type_symbol
_atom_site_fract_x
_atom_site_fract_y
_atom_site_fract_z
Er1 Er 0.0000 0.7233 0.2173
Er2 Er 0.5000 0.7403 0.7698
Er3 Er 0.5000 0.2597 0.2302
Er4 Er 0.0000 0.2767 0.7827
S1 S 0.5000 0.5000 0.0000
Pb1 Pb 0.0000 0.0000 0.0000
Te1 Te 0.5000 0.0000 0.5000
Te2 Te 0.0000 0.5000 0.5000
```

Its formation energy without anion corrections is -1.207 eV per atom. As for the space group: No. 10.

=====

ErTmPbS | PBE | relaxed

Cell and atoms, written as CIF:
```
data_ErTmPbS
_chemical_formula_sum 'Er1 Tm1 Pb1 S1'
_space_group_name_H-M_alt 'P 1'
_space_group_IT_number 1
_cell_length_a 3.7433
_cell_length_b 3.7408
_cell_length_c 8.3437
_cell_angle_alpha 90.04
_cell_angle_beta 103.07
_cell_angle_gamma 119.68
loop_
_space_group_symop_operation_xyz
'x,y,z'
loop_
_atom_site_label
_atom_site_type_symbol
_atom_site_fract_x
_atom_site_fract_y
_atom_site_fract_z
Er1 Er 0.9332 0.3655 0.3136
S1 S 0.1342 0.9657 0.1139
Pb1 Pb 0.4702 0.1317 0.6206
Tm1 Tm 0.3404 0.5679 0.9216
```

Its formation energy without anion corrections is -1.180 eV per atom. As for the space group: No. 1.

=====

Er4TmPbS8 | PBE | relaxed

Cell and atoms, written as CIF:
```
data_Er4TmPbS8
_chemical_formula_sum 'Er4 Tm1 Pb1 S8'
_space_group_name_H-M_alt 'P 1'
_space_group_IT_number 1
_cell_length_a 8.0848
_cell_length_b 8.0848
_cell_length_c 8.0682
_cell_angle_alpha 59.93
_cell_angle_beta 59.93
_cell_angle_gamma 60.00
loop_
_space_group_symop_operation_xyz
'x,y,z'
loop_
_atom_site_label
_atom_site_type_symbol
_atom_site_fract_x
_atom_site_fract_y
_atom_site_fract_z
S1 S 0.2360 0.2360 0.2919
S2 S 0.7584 0.2263 0.2568
S3 S 0.7932 0.2348 0.7371
S4 S 0.2348 0.2348 0.7371
S5 S 0.2348 0.7932 0.7371
S6 S 0.2263 0.7584 0.2568
S7 S 0.7584 0.7584 0.2568
S8 S 0.7577 0.7577 0.7269
Pb1 Pb 0.3754 0.3754 0.8738
Er1 Er 0.4941 0.0020 0.5019
Er2 Er 0.0020 0.0020 0.5019
Er3 Er 0.0020 0.4941 0.5019
Er4 Er 0.6248 0.6248 0.1255
Tm1 Tm 0.0018 0.0018 0.9945
```

Its formation energy without anion corrections is -1.762 eV per atom. As for the space group: No. 160.

=====

Er2Tm2Pb2S | PBE | relaxed

Cell and atoms, written as CIF:
```
data_Er2Tm2Pb2S
_chemical_formula_sum 'Er2 Tm2 Pb2 S1'
_space_group_name_H-M_alt 'P 1'
_space_group_IT_number 1
_cell_length_a 5.0153
_cell_length_b 5.0153
_cell_length_c 8.7261
_cell_angle_alpha 106.70
_cell_angle_beta 106.70
_cell_angle_gamma 90.00
loop_
_space_group_symop_operation_xyz
'x,y,z'
loop_
_atom_site_label
_atom_site_type_symbol
_atom_site_fract_x
_atom_site_fract_y
_atom_site_fract_z
Er1 Er 0.5000 0.0000 0.0000
Er2 Er 0.0000 0.5000 0.0000
Tm1 Tm 0.1665 0.1665 0.3329
Tm2 Tm 0.8335 0.8335 0.6671
S1 S 0.0000 0.0000 0.0000
Pb1 Pb 0.3606 0.3606 0.7211
Pb2 Pb 0.6394 0.6394 0.2789
```

Its formation energy without anion corrections is -0.716 eV per atom. As for the space group: No. 139.

=====

Er2UPbS8 | PBE | relaxed

Cell and atoms, written as CIF:
```
data_Er2UPbS8
_chemical_formula_sum 'Er2 U1 Pb1 S8'
_space_group_name_H-M_alt 'P 1'
_space_group_IT_number 1
_cell_length_a 6.7134
_cell_length_b 5.5623
_cell_length_c 8.2817
_cell_angle_alpha 89.89
_cell_angle_beta 90.02
_cell_angle_gamma 88.83
loop_
_space_group_symop_operation_xyz
'x,y,z'
loop_
_atom_site_label
_atom_site_type_symbol
_atom_site_fract_x
_atom_site_fract_y
_atom_site_fract_z
S1 S 0.8530 0.2580 0.7757
S2 S 0.1470 0.7420 0.2243
S3 S 0.8519 0.2568 0.2235
S4 S 0.4297 0.1724 0.5000
S5 S 0.5703 0.8276 0.5000
S6 S 0.1481 0.7432 0.7765
S7 S 0.3338 0.2452 0.0007
S8 S 0.6662 0.7548 0.9993
Er1 Er 0.5000 0.5008 0.2310
Er2 Er 0.5000 0.4992 0.7690
Pb1 Pb 0.0000 0.0000 0.5000
U1 U 0.0000 0.0000 0.0000
```

Its formation energy without anion corrections is -1.169 eV per atom. As for the space group: No. 2.

=====

YEr4PbS8 | PBE | relaxed

Cell and atoms, written as CIF:
```
data_YEr4PbS8
_chemical_formula_sum 'Y1 Er4 Pb1 S8'
_space_group_name_H-M_alt 'P 1'
_space_group_IT_number 1
_cell_length_a 8.0798
_cell_length_b 8.0798
_cell_length_c 8.1175
_cell_angle_alpha 60.15
_cell_angle_beta 60.15
_cell_angle_gamma 60.00
loop_
_space_group_symop_operation_xyz
'x,y,z'
loop_
_atom_site_label
_atom_site_type_symbol
_atom_site_fract_x
_atom_site_fract_y
_atom_site_fract_z
S1 S 0.7562 0.7562 0.2598
S2 S 0.7913 0.2380 0.7327
S3 S 0.7578 0.7578 0.7267
S4 S 0.2278 0.7562 0.2598
S5 S 0.2352 0.2352 0.2945
S6 S 0.2380 0.7913 0.7327
S7 S 0.2380 0.2380 0.7327
S8 S 0.7562 0.2278 0.2598
Y1 Y 0.0021 0.0021 0.9937
Er1 Er 0.4943 0.0018 0.5021
Er2 Er 0.0018 0.0018 0.5021
Er3 Er 0.0018 0.4943 0.5021
Er4 Er 0.6254 0.6254 0.1239
Pb1 Pb 0.3742 0.3742 0.8775
```

Its formation energy without anion corrections is -1.765 eV per atom. As for the space group: No. 160.